DFT (PBE) results for a geometry-optimized AcGdTe structure.

Output
* crystal system: tetragonal
* formation energy from raw total energies: -0.802 eV per atom
* magnetization: 8.09 μB per formula unit
* polymorph energy (0 for the lowest one): 0.0 meV per atom

Structure (CIF):
```
data_AcGdTe
_symmetry_space_group_name_H-M 'I 4 m m'
_symmetry_Int_Tables_number 107
_symmetry_space_group_name_Hall 'I 4 -2'
_cell_length_a 4.051
_cell_length_b 4.051
_cell_length_c 12.661
_cell_angle_alpha 90.00
_cell_angle_beta 90.00
_cell_angle_gamma 90.00
loop_
_atom_site_label
_atom_site_type_symbol
_atom_site_fract_x
_atom_site_fract_y
_atom_site_fract_z
Ac1 Ac 0.000 0.000 0.000
Gd1 Gd 0.000 0.000 0.300
Te1 Te 0.000 0.000 0.686
```